# PuHfMoRh (PBE, relaxed)
data_PuHfMoRh
_space_group_name_H-M_alt 'F -4 3 m'
_space_group_IT_number 216
_space_group_name_Hall 'F -4 2 3'
_cell_length_a 6.672
_cell_length_b 6.672
_cell_length_c 6.672
_cell_angle_alpha 90.00
_cell_angle_beta 90.00
_cell_angle_gamma 90.00
loop_
_atom_site_label
_atom_site_type_symbol
_atom_site_fract_x
_atom_site_fract_y
_atom_site_fract_z
Pu1 Pu 0.000 0.000 0.000
Hf1 Hf 0.000 0.000 0.500
Mo1 Mo 0.250 0.250 0.250
Rh1 Rh 0.250 0.250 0.750
# Formation enthalpy at 0 K (eV per atom): -0.250